Here is a relaxed Pm3HoPb3 crystal from the Alexandria database. Energies are from GGA-PBE.

density of states at the Fermi level: 15.97 states/eV per cell
VASP energy: -65.41 eV per cell
magnetic moment: 0.001 μB/atom
calculated volume: 34.08 A^3/atom

```
Pm3HoPb3
1.0
4.6726 2.6977 6.3084
-4.6726 2.6977 6.3084
0.0000 -5.3955 6.3084
Pm Ho Pb
6 2 6
Cartesian
-1.1695 -3.2746 7.9965
-3.4206 -0.6245 10.9285
-2.2511 2.6501 7.9965
2.2511 -2.6501 10.9285
3.4206 0.6245 7.9965
1.1695 3.2746 10.9285
0.0000 0.0000 6.2772
0.0000 0.0000 12.6478
-2.8603 -0.4613 7.7661
-1.0306 -2.7077 11.1590
1.8296 -2.2464 7.7660
-1.8296 2.2464 11.1590
1.0306 2.7077 7.7660
2.8603 0.4613 11.1590
```